A relaxed FeHgW crystal. Source: Alexandria, functional PBE-GGA.

Unit cell a=3.0867 b=3.0732 c=10.6499 alpha=90.00 beta=96.32 gamma=90.00
Space group P2_1/m (No. 11)
One atom of each set of equivalent atoms:
Fe (0.1725, 0.2500, 0.3005) (multiplicity 2)
Hg (0.4042, 0.2500, 0.8771) (multiplicity 2)
W (0.2820, 0.2500, 0.5814) (multiplicity 2)

Properties
ΔH_f (0 K) ... 0.8 eV/f.u.
Total magnetic moment ... 1.9 μB per cell
Distance to the lowest polymorph of the same formula ... 0 meV/atom
Calculated density ... 14.56 g/cm³